This record from the Alexandria database describes In2CuNi after structural relaxation. The functional is PBE.

Calculated values
For the formation energy, the calculation gives 0.023 eV per atom. As for the volume: 16.464 Å³ per atom. For the total moment, the calculation gives 0.00 Bohr magnetons per cell. Its space group is No. 10.

Structure (CIF):
```
data_In2CuNi
_chemical_formula_sum 'In2 Cu1 Ni1'
_cell_length_a 3.289
_cell_length_b 3.158
_cell_length_c 7.111
_cell_angle_alpha 63.08
_cell_angle_beta 90.00
_cell_angle_gamma 90.00
_symmetry_space_group_name_H-M 'P 1'
_symmetry_Int_Tables_number 1
loop_
_symmetry_equiv_pos_as_xyz
'x,y,z'
loop_
_atom_site_label
_atom_site_type_symbol
_atom_site_fract_x
_atom_site_fract_y
_atom_site_fract_z
In1 In 0.000 0.508 0.491
In2 In 0.000 0.992 0.009
Cu1 Cu 0.500 0.750 0.750
Ni1 Ni 0.500 0.250 0.250
```

---

This record from the Alexandria database describes InCu3Ni4 after structural relaxation. The functional is PBE.

Calculated values
For the formation energy, the calculation gives 0.006 eV per atom. As for the volume: 12.392 Å³ per atom. For the total moment, the calculation gives 0.00 Bohr magnetons per cell. Its space group is No. 51.

Structure (CIF):
```
data_InCu3Ni4
_chemical_formula_sum 'In2 Cu6 Ni8'
_cell_length_a 4.386
_cell_length_b 5.394
_cell_length_c 8.382
_cell_angle_alpha 90.00
_cell_angle_beta 90.00
_cell_angle_gamma 90.00
_symmetry_space_group_name_H-M 'P 1'
_symmetry_Int_Tables_number 1
loop_
_symmetry_equiv_pos_as_xyz
'x,y,z'
loop_
_atom_site_label
_atom_site_type_symbol
_atom_site_fract_x
_atom_site_fract_y
_atom_site_fract_z
Ni1 Ni 0.500 0.766 0.500
Ni2 Ni 0.149 0.232 0.750
Ni3 Ni 0.500 0.234 0.500
Ni4 Ni 0.500 0.766 0.000
Ni5 Ni 0.149 0.768 0.750
Ni6 Ni 0.851 0.768 0.250
Ni7 Ni 0.500 0.234 0.000
Ni8 Ni 0.851 0.232 0.250
Cu1 Cu 0.000 0.000 0.000
Cu2 Cu 0.391 0.500 0.250
Cu3 Cu 0.000 0.000 0.500
Cu4 Cu 0.648 0.000 0.750
Cu5 Cu 0.609 0.500 0.750
Cu6 Cu 0.352 0.000 0.250
In1 In 0.000 0.500 0.500
In2 In 0.000 0.500 0.000
```

---

This record from the Alexandria database describes InCu5Ni6 after structural relaxation. The functional is PBE.

Calculated values
For the formation energy, the calculation gives 0.025 eV per atom. As for the volume: 12.025 Å³ per atom. For the total moment, the calculation gives 0.00 Bohr magnetons per cell. Its space group is No. 10.

Structure (CIF):
```
data_InCu5Ni6
_chemical_formula_sum 'In1 Cu5 Ni6'
_cell_length_a 4.357
_cell_length_b 5.270
_cell_length_c 6.295
_cell_angle_alpha 90.00
_cell_angle_beta 93.42
_cell_angle_gamma 90.00
_symmetry_space_group_name_H-M 'P 1'
_symmetry_Int_Tables_number 1
loop_
_symmetry_equiv_pos_as_xyz
'x,y,z'
loop_
_atom_site_label
_atom_site_type_symbol
_atom_site_fract_x
_atom_site_fract_y
_atom_site_fract_z
Ni1 Ni 0.166 0.257 0.342
Ni2 Ni 0.834 0.257 0.658
Ni3 Ni 0.834 0.743 0.658
Ni4 Ni 0.500 0.264 0.000
Ni5 Ni 0.166 0.743 0.342
Ni6 Ni 0.500 0.736 0.000
Cu1 Cu 0.345 0.000 0.662
Cu2 Cu 0.664 0.500 0.331
Cu3 Cu 0.000 0.500 0.000
Cu4 Cu 0.336 0.500 0.669
Cu5 Cu 0.655 0.000 0.338
In1 In 0.000 0.000 0.000
```

---

This record from the Alexandria database describes In2CuNi after structural relaxation. The functional is PBE.

Calculated values
For the formation energy, the calculation gives -0.003 eV per atom. As for the volume: 17.291 Å³ per atom. For the total moment, the calculation gives 0.00 Bohr magnetons per cell. Its space group is No. 6.

Structure (CIF):
```
data_In2CuNi
_chemical_formula_sum 'In2 Cu1 Ni1'
_cell_length_a 4.154
_cell_length_b 3.384
_cell_length_c 5.211
_cell_angle_alpha 70.74
_cell_angle_beta 90.00
_cell_angle_gamma 90.00
_symmetry_space_group_name_H-M 'P 1'
_symmetry_Int_Tables_number 1
loop_
_symmetry_equiv_pos_as_xyz
'x,y,z'
loop_
_atom_site_label
_atom_site_type_symbol
_atom_site_fract_x
_atom_site_fract_y
_atom_site_fract_z
Cu1 Cu 0.500 0.552 0.770
In1 In 0.500 0.277 0.328
In2 In 0.000 0.972 0.924
Ni1 Ni 0.000 0.699 0.478
```